# 1
A relaxed structure of Gd2LuC, computed with PBE.

```
12
Lattice="3.551 0.000 0.000 -1.775 3.075 0.000 0.000 0.000 28.748" Properties=species:S:1:pos:R:3 pbc="T T T"
Gd 0.000 0.000 3.420
Gd 0.000 0.000 25.328
Gd 0.000 2.050 15.745
Gd 0.000 2.050 22.585
Gd 1.775 1.025 6.163
Gd 1.775 1.025 13.003
Lu 0.000 0.000 0.000
Lu 0.000 2.050 19.165
Lu 1.775 1.025 9.583
C 0.000 0.000 14.374
C 0.000 2.050 4.791
C 1.775 1.025 23.957
```

Values from the calculation:
**Energy relative to the elements**: -3 kJ per mole of atoms
**Theoretical density**: 8.0 g cm⁻³
**Space group**: R-3m (166)

---

# 2
A relaxed structure of Tl4CdHg12, computed with PBE.

```
17
Lattice="-4.930 4.930 4.930 4.930 -4.930 4.930 4.930 4.930 -4.930" Properties=species:S:1:pos:R:3 pbc="T T T"
Tl 2.465 2.465 -2.465
Tl 2.465 -2.465 2.465
Tl -2.465 2.465 2.465
Tl 2.465 2.465 2.465
Cd 0.000 0.000 0.000
Hg 2.917 0.000 0.000
Hg 6.942 0.000 0.000
Hg 4.930 2.465 0.000
Hg 4.930 0.000 2.465
Hg 0.000 2.917 0.000
Hg 0.000 0.000 2.917
Hg 2.465 4.930 0.000
Hg 2.465 0.000 4.930
Hg 0.000 6.942 0.000
Hg 0.000 0.000 6.942
Hg 0.000 4.930 2.465
Hg 0.000 2.465 4.930
```

Values from the calculation:
**Energy relative to the elements**: 0 kJ per mole of atoms
**Theoretical density**: 11.6 g cm⁻³
**Space group**: Im-3m (229)

---

- Number 1 is which compound?
  Gd2LuC